1.
Compound: SmHCl
Source: Alexandria
Functional: GGA-PBE
Structure: optimized geometry

POSCAR file:
```
SmHCl
1.0
3.377 -1.950 0.000
3.377 1.950 0.000
-0.566 0.000 10.113
Sm H Cl
2 2 2
Cartesian
0.844 0.000 3.639
5.343 0.000 6.475
0.841 0.000 5.907
5.346 0.000 4.207
3.095 0.000 1.941
3.092 0.000 8.172
```

Summary:
The space group is C2/m. The calculation puts the total energy at -4.728 eV per atom.

2.
Compound: Sm6Ge2HS3
Source: Alexandria
Functional: GGA-PBE
Structure: optimized geometry

POSCAR file:
```
Sm6Ge2HS3
1.0
8.870 -2.047 0.000
8.870 2.047 0.000
-2.070 0.000 7.871
Sm Ge H S
6 2 1 3
Cartesian
-0.455 0.000 1.914
4.018 0.000 7.206
5.063 0.000 3.306
10.608 0.000 4.565
11.653 0.000 0.665
16.126 0.000 5.957
1.169 0.000 6.501
14.501 0.000 1.370
7.835 0.000 3.935
2.300 0.000 2.636
8.870 0.000 0.000
13.371 0.000 5.235
```

Summary:
The space group is C2/m. The calculation puts the total energy at -5.790 eV per atom.

3.
Compound: BeAgCl2
Source: Alexandria
Functional: GGA-PBE
Structure: optimized geometry

POSCAR file:
```
BeAgCl2
1.0
5.314 0.000 0.000
0.000 3.139 0.000
-1.835 0.000 5.811
Be Ag Cl
1 1 2
Cartesian
0.000 0.000 0.000
3.330 1.569 0.822
1.174 0.000 1.581
3.835 1.569 4.524
```

Summary:
The space group is Pm. The calculation puts the total energy at -3.151 eV per atom. For the uncorrected formation energy, the calculation gives -0.5829 eV/atom. The value obtained for the excess energy over the best structure of this formula in the dataset is 0.060 eV per atom.

4.
Compound: Tm3AlPd2
Source: Alexandria
Functional: GGA-PBE
Structure: optimized geometry

POSCAR file:
```
Tm3AlPd2
1.0
3.461 0.000 0.000
0.000 3.461 0.000
0.000 0.000 10.749
Tm Al Pd
3 1 2
Cartesian
0.000 0.000 0.000
0.000 0.000 3.466
0.000 0.000 7.283
1.730 1.730 5.374
1.730 1.730 1.786
1.730 1.730 8.962
```

Summary:
The space group is P4/mmm. The calculation puts the total energy at -5.353 eV per atom. The value obtained for the energy of formation is -0.762 eV per atom.